Record 1
Tm6PuSc4, optimized geometry, DFT PBE-GGA; DFT formation energy = 0.320 eV per atom; total magnetization = 5.98 μB per formula unit; Fermi-level density of states = 18.6 states/eV per cell
1.0
-2.175 0.047 5.833
4.653 -3.740 1.765
3.395 8.404 -2.123
Pu Tm Sc
1 6 4
Direct
0.500 0.500 0.000 Pu
0.863 0.489 0.352 Tm
0.137 0.137 0.648 Tm
0.000 0.500 0.000 Tm
0.511 0.511 0.648 Tm
0.500 0.000 0.000 Tm
0.489 0.863 0.352 Tm
0.949 0.949 0.259 Sc
0.051 0.690 0.741 Sc
0.690 0.051 0.741 Sc
0.310 0.310 0.259 Sc



Record 2
HoPuZrO6, optimized geometry, DFT PBE-GGA; total magnetization = 3.00 μB per formula unit; Fermi-level density of states = 20.0 states/eV per cell; energy relative to the elements, uncorrected = -3.11 eV per atom
1.0
5.614 0.000 0.000
-2.807 4.862 0.000
0.000 0.000 9.480
Zr Ho O Pu
2 2 12 2
Direct
0.667 0.333 0.750 Zr
0.333 0.667 0.250 Zr
0.000 0.000 0.500 Ho
0.000 0.000 0.000 Ho
0.653 0.655 0.135 O
0.998 0.345 0.635 O
0.345 0.998 0.135 O
0.655 0.653 0.635 O
0.347 0.002 0.635 O
0.347 0.345 0.865 O
0.002 0.347 0.135 O
0.345 0.347 0.365 O
0.655 0.002 0.865 O
0.653 0.998 0.365 O
0.998 0.653 0.865 O
0.002 0.655 0.365 O
0.667 0.333 0.250 Pu
0.333 0.667 0.750 Pu



Record 3
Tl3TeI2, optimized geometry, DFT PBE-GGA; total magnetization = 0.00 μB per formula unit; Fermi-level density of states = 7.7 states/eV per cell; energy relative to the elements, uncorrected = -0.43 eV per atom
1.0
6.679 0.000 0.000
0.000 9.678 0.002
-3.339 -2.419 7.532
Tl I Te
6 4 2
Direct
0.501 0.250 0.000 Tl
0.150 0.074 0.299 Tl
0.499 0.750 0.000 Tl
0.850 0.426 0.701 Tl
0.150 0.574 0.299 Tl
0.850 0.926 0.701 Tl
0.334 0.917 0.668 I
0.666 0.583 0.332 I
0.334 0.417 0.668 I
0.666 0.083 0.332 I
0.998 0.750 0.000 Te
0.002 0.250 0.000 Te



Record 4
NiBSb2As, optimized geometry, DFT PBE-GGA; total magnetization = 0.00 μB per formula unit; Fermi-level density of states = 4.8 states/eV per cell; energy relative to the elements, uncorrected = 1.11 eV per atom
1.0
5.120 0.000 0.000
0.000 4.298 0.000
0.000 0.000 5.120
Sb As Ni B
2 1 1 1
Direct
0.500 0.000 0.000 Sb
0.000 0.000 0.500 Sb
0.000 0.500 0.000 As
0.000 0.000 0.000 Ni
0.500 0.500 0.500 B